# LaHoIn6 | Alexandria | PBE | relaxed
data_LaHoIn6
_cell_length_a 4.715
_cell_length_b 4.715
_cell_length_c 9.395
_cell_angle_alpha 90.00
_cell_angle_beta 90.00
_cell_angle_gamma 90.00
_symmetry_space_group_name_H-M 'P 4/m m m'
_symmetry_Int_Tables_number 123
_symmetry_space_group_name_Hall '-P 4 2'
loop_
_atom_site_label
_atom_site_type_symbol
_atom_site_fract_x
_atom_site_fract_y
_atom_site_fract_z
La1 La 0.000 0.000 0.000
Ho1 Ho 0.000 0.000 0.500
In1 In 0.000 0.500 0.258
In2 In 0.500 0.500 0.000
In3 In 0.500 0.500 0.500
# Total magnetization (μB per cell): 0.000
# ΔH_f (0 K) (eV/atom): -0.44
# Mass density (g/cm³): 7.9
# Energy relative to the lowest polymorph listed for this composition (eV/atom): 0.000